[1]
First-principles (PBE-GGA) data for a relaxed structure of PrSmPd, as listed in the Alexandria database.

```
PrSmPd
1.0
3.668 0.006 0.001
-0.016 7.345 0.061
-1.830 -1.890 6.214
Sm Pr Pd
2 2 2
Direct
0.578 0.123 0.923 Sm
0.300 0.981 0.366 Sm
0.577 0.620 0.919 Pr
0.301 0.484 0.369 Pr
0.939 0.282 0.645 Pd
0.939 0.822 0.644 Pd
```

Summary:
Calculated density = 7.87 Mg/m³
Energy of formation = -10.44 kcal/mol of atoms
SG = C2/m (12)
V = 84 Å³/f.u.
Magnetic moment = 0.59 μB/f.u.
Total DFT energy (no corrections) = -5.35 eV per atom
Polymorph energy (0 for the lowest one) = 76.8 meV per atom

=====

[2]
First-principles (PBE-GGA) data for a relaxed structure of Ir3RhC, as listed in the Alexandria database.

```
Ir3RhC
1.0
-2.155 -3.414 -0.548
1.586 -1.550 3.419
-3.073 1.595 2.149
C Ir Rh
1 3 1
Direct
0.000 0.000 0.000 C
0.500 0.000 0.000 Ir
0.000 0.500 0.000 Ir
0.000 0.000 0.500 Ir
0.500 0.500 0.500 Rh
```

Summary:
Calculated density = 16.97 Mg/m³
Energy of formation = 12.64 kcal/mol of atoms
SG = Pm-3m (221)
V = 68 Å³/f.u.
Magnetic moment = 0.00 μB/f.u.
Total DFT energy (no corrections) = -8.08 eV per atom
Polymorph energy (0 for the lowest one) = 0.0 meV per atom

=====

[3]
First-principles (PBE-GGA) data for a relaxed structure of MnBe2VIn, as listed in the Alexandria database.

```
MnBe2VIn
1.0
-1.758 0.860 3.928
1.119 -3.777 1.328
3.844 1.619 1.365
Be Mn In V
2 1 1 1
Direct
0.000 0.000 0.500 Be
0.500 0.000 0.000 Be
0.000 0.500 0.000 Mn
0.500 0.500 0.500 In
0.000 0.000 0.000 V
```

Summary:
Calculated density = 4.95 Mg/m³
Energy of formation = 23.77 kcal/mol of atoms
SG = P4/mmm (123)
V = 80 Å³/f.u.
Magnetic moment = 2.09 μB/f.u.
Total DFT energy (no corrections) = -4.66 eV per atom

=====

[4]
First-principles (PBE-GGA) data for a relaxed structure of ScCdAgRu, as listed in the Alexandria database.

```
ScCdAgRu
1.0
-0.652 -1.779 4.257
2.392 -3.767 1.343
3.341 0.389 3.225
Ru Ag Cd Sc
1 1 1 1
Direct
0.750 0.750 0.750 Ru
0.250 0.250 0.250 Ag
0.000 0.000 0.000 Cd
0.500 0.500 0.500 Sc
```

Summary:
Calculated density = 8.50 Mg/m³
Energy of formation = -2.77 kcal/mol of atoms
SG = F-43m (216)
V = 72 Å³/f.u.
Magnetic moment = 0.00 μB/f.u.
Total DFT energy (no corrections) = -4.96 eV per atom

=====

[5]
First-principles (PBE-GGA) data for a relaxed structure of LiCuO, as listed in the Alexandria database.

```
LiCuO
1.0
4.301 0.000 0.000
0.000 3.022 0.000
0.000 -1.511 2.617
Li O Cu
1 1 1
Direct
0.785 0.667 0.333 Li
0.984 0.000 0.000 O
0.230 0.333 0.667 Cu
```

Summary:
Calculated density = 4.22 Mg/m³
SG = P3m1 (156)
V = 34 Å³/f.u.
Magnetic moment = 0.00 μB/f.u.
Energy relative to the elements, uncorrected = -2.31 eV per formula unit
Total DFT energy (no corrections) = -4.43 eV per atom

=====

[6]
First-principles (PBE-GGA) data for a relaxed structure of Cs4Sm3TiTe8, as listed in the Alexandria database.

```
Cs4Sm3TiTe8
1.0
-5.135 -4.083 6.272
6.513 -8.028 0.105
3.662 8.125 1.721
Cs Sm Te Ti
4 3 8 1
Direct
0.500 0.000 0.000 Cs
0.000 0.000 0.000 Cs
0.000 0.000 0.500 Cs
0.500 0.000 0.500 Cs
0.000 0.500 0.500 Sm
0.500 0.500 0.000 Sm
0.500 0.500 0.500 Sm
0.268 0.304 0.536 Te
0.782 0.315 0.565 Te
0.218 0.685 0.435 Te
0.250 0.315 0.032 Te
0.750 0.685 0.968 Te
0.218 0.685 0.968 Te
0.732 0.696 0.464 Te
0.782 0.315 0.032 Te
0.000 0.500 0.000 Ti
```

Summary:
Calculated density = 5.36 Mg/m³
SG = R-3m (166)
V = 636 Å³/f.u.
Magnetic moment = 1.00 μB/f.u.
Energy relative to the elements, uncorrected = -19.61 eV per formula unit
Total DFT energy (no corrections) = -4.39 eV per atom

=====

[7]
First-principles (PBE-GGA) data for a relaxed structure of Nd3SiTe2, as listed in the Alexandria database.

```
Nd3SiTe2
1.0
-5.176 5.109 -2.545
-3.273 -6.967 0.359
0.468 3.337 13.571
Nd Te Si
12 8 4
Direct
0.225 0.225 0.000 Nd
0.088 0.064 0.676 Nd
0.314 0.838 0.176 Nd
0.388 0.412 0.324 Nd
0.936 0.912 0.324 Nd
0.162 0.686 0.824 Nd
0.025 0.525 0.500 Nd
0.862 0.338 0.176 Nd
0.775 0.775 0.000 Nd
0.475 0.975 0.500 Nd
0.588 0.612 0.676 Nd
0.662 0.138 0.824 Nd
0.581 0.581 0.161 Te
0.253 0.253 0.506 Te
0.997 0.497 0.994 Te
0.831 0.331 0.661 Te
0.747 0.747 0.494 Te
0.503 0.003 0.006 Te
0.419 0.419 0.839 Te
0.669 0.169 0.339 Te
0.334 0.834 0.667 Si
0.084 0.084 0.167 Si
0.916 0.916 0.833 Si
0.166 0.666 0.333 Si
```

Summary:
Calculated density = 6.40 Mg/m³
SG = Fddd (70)
V = 186 Å³/f.u.
Magnetic moment = 0.00 μB/f.u.
Energy relative to the elements, uncorrected = -7.64 eV per formula unit
Total DFT energy (no corrections) = -5.61 eV per atom
Polymorph energy (0 for the lowest one) = 0.0 meV per atom

=====

[8]
First-principles (PBE-GGA) data for a relaxed structure of MgIn2Br8, as listed in the Alexandria database.

```
MgIn2Br8
1.0
6.635 0.148 0.123
0.309 8.214 -0.320
0.309 1.187 8.134
In Br Mg
2 8 1
Direct
0.636 0.792 0.792 In
0.364 0.208 0.208 In
0.248 0.805 0.805 Br
0.221 0.920 0.265 Br
0.221 0.265 0.920 Br
0.754 0.594 0.594 Br
0.246 0.406 0.406 Br
0.752 0.195 0.195 Br
0.779 0.080 0.735 Br
0.779 0.735 0.080 Br
0.000 0.000 0.000 Mg
```

Summary:
Calculated density = 3.33 Mg/m³
SG = C2/m (12)
V = 445 Å³/f.u.
Magnetic moment = 0.00 μB/f.u.
Energy relative to the elements, uncorrected = -10.57 eV per formula unit
Total DFT energy (no corrections) = -2.82 eV per atom
Polymorph energy (0 for the lowest one) = 4.0 meV per atom

=====

[9]
First-principles (PBE-GGA) data for a relaxed structure of CuPbAu, as listed in the Alexandria database.

```
CuPbAu
1.0
-2.197 1.530 3.348
-3.409 -2.316 -1.179
2.191 -5.157 3.794
Au Cu Pb
2 2 2
Direct
0.500 0.000 0.735 Au
0.000 0.500 0.265 Au
0.500 0.500 0.500 Cu
0.000 0.000 0.500 Cu
0.500 0.000 0.182 Pb
0.000 0.500 0.818 Pb
```

Summary:
Calculated density = 12.49 Mg/m³
Energy of formation = 0.01 kcal/mol of atoms
SG = P4/nmm (129)
V = 62 Å³/f.u.
Magnetic moment = 0.00 μB/f.u.
Total DFT energy (no corrections) = -3.69 eV per atom
Polymorph energy (0 for the lowest one) = 0.0 meV per atom

=====

[10]
First-principles (PBE-GGA) data for a relaxed structure of RbIrS2Cl, as listed in the Alexandria database.

```
RbIrS2Cl
1.0
-3.729 1.290 2.404
0.741 -3.439 2.996
3.190 3.407 3.121
S Ir Cl Rb
2 1 1 1
Direct
0.000 0.500 0.000 S
0.500 0.000 0.000 S
0.000 0.000 0.000 Ir
0.000 0.000 0.500 Cl
0.500 0.500 0.500 Rb
```

Summary:
Calculated density = 5.23 Mg/m³
SG = P4/mmm (123)
V = 120 Å³/f.u.
Magnetic moment = 0.00 μB/f.u.
Energy relative to the elements, uncorrected = -1.79 eV per formula unit
Total DFT energy (no corrections) = -4.34 eV per atom
Polymorph energy (0 for the lowest one) = 0.0 meV per atom

=====

[11]
First-principles (PBE-GGA) data for a relaxed structure of Ta4CoTe4, as listed in the Alexandria database.

```
Ta4CoTe4
1.0
4.806 0.000 0.000
0.000 11.013 0.000
0.000 0.000 19.151
Ta Te Co
16 16 4
Direct
0.500 0.700 0.536 Ta
0.000 0.097 0.893 Ta
0.500 0.200 0.964 Ta
0.000 0.814 0.944 Ta
0.500 0.800 0.036 Ta
0.000 0.686 0.444 Ta
0.500 0.937 0.885 Ta
0.500 0.300 0.464 Ta
0.500 0.437 0.615 Ta
0.000 0.186 0.056 Ta
0.500 0.563 0.385 Ta
0.000 0.314 0.556 Ta
0.000 0.597 0.607 Ta
0.000 0.403 0.393 Ta
0.000 0.903 0.107 Ta
0.500 0.063 0.115 Ta
0.500 0.679 0.903 Te
0.000 0.654 0.062 Te
0.000 0.108 0.199 Te
0.500 0.833 0.184 Te
0.000 0.608 0.301 Te
0.000 0.346 0.938 Te
0.000 0.892 0.801 Te
0.500 0.333 0.316 Te
0.000 0.392 0.699 Te
0.500 0.667 0.684 Te
0.500 0.821 0.403 Te
0.500 0.179 0.597 Te
0.500 0.167 0.816 Te
0.500 0.321 0.097 Te
0.000 0.154 0.438 Te
0.000 0.846 0.562 Te
0.250 0.500 0.500 Co
0.750 0.000 0.000 Co
0.750 0.500 0.500 Co
0.250 0.000 0.000 Co
```

Summary:
Calculated density = 8.47 Mg/m³
SG = Pbam (55)
V = 253 Å³/f.u.
Magnetic moment = 0.00 μB/f.u.
Energy relative to the elements, uncorrected = -3.52 eV per formula unit
Total DFT energy (no corrections) = -7.85 eV per atom

=====

[12]
First-principles (PBE-GGA) data for a relaxed structure of Ac3Tb3PuSe8, as listed in the Alexandria database.

```
Ac3Tb3PuSe8
1.0
-0.232 -7.394 4.013
7.124 4.479 -0.162
-6.624 2.801 4.778
Tb Se Pu Ac
3 8 1 3
Direct
0.500 0.000 0.500 Tb
0.500 0.500 0.500 Tb
0.000 0.500 0.500 Tb
0.248 0.983 0.731 Se
0.741 0.483 0.724 Se
0.259 0.517 0.276 Se
0.734 0.983 0.731 Se
0.266 0.017 0.269 Se
0.752 0.503 0.269 Se
0.752 0.017 0.269 Se
0.248 0.497 0.731 Se
0.000 0.000 0.500 Pu
0.500 0.500 0.000 Ac
0.000 0.000 0.000 Ac
0.000 0.500 0.000 Ac
```

Summary:
Calculated density = 7.71 Mg/m³
SG = R-3m (166)
V = 438 Å³/f.u.
Magnetic moment = 6.25 μB/f.u.
Energy relative to the elements, uncorrected = -27.24 eV per formula unit
Total DFT energy (no corrections) = -6.38 eV per atom